A relaxed structure of Ce2ZnF, computed with PBE-GGA.

The structure belongs to space group P4/mmm (No. 123); the cell edges are 3.1127, 3.1127 and 8.0860 Å and the angles 90.00°, 90.00° and 90.00°. The inequivalent atoms are Ce at (0.0000, 0.0000, 0.2330), Zn at (0.5000, 0.5000, 0.5000) and F at (0.5000, 0.5000, 0.0000).

For the density, the calculation gives 7.73 g/cm3. Its total DFT energy (no corrections) is -4.7907 eV/atom. As for the distance to the lowest polymorph of the same formula: 0 meV/atom. For the uncorrected formation energy, the calculation gives -1.0374 eV per atom. Its size of the total moment is 0.44 μB per atom. As for the density of states at the Fermi level: 9.12 states/eV/f.u.